Entry 1:
Density functional theory data (PBE) for crystalline Li2SiHg at its relaxed geometry.

Its uncorrected formation energy is -14.1 kJ per mole of atoms. For the total DFT energy (no corrections), the calculation gives -20.3 eV/cell.

The structure belongs to space group Cmmm (No. 65); the cell edges are 5.774, 7.543 and 3.002 Å and the angles 90.00°, 90.00° and 90.00°. The inequivalent atoms are Li at (0.250, 0.250, 0.000), Si at (0.000, 0.000, 0.500) and Hg at (0.000, 0.500, 0.500).



Entry 2:
Density functional theory data (PBE) for crystalline LiSiHg2 at its relaxed geometry.

Its uncorrected formation energy is 8.0 kJ per mole of atoms. For the total DFT energy (no corrections), the calculation gives -15.2 eV/cell.

The structure belongs to space group C2/m (No. 12); the cell edges are 8.668, 3.433 and 5.464 Å and the angles 90.00°, 99.94° and 90.00°. The inequivalent atoms are Li at (0.000, 0.000, 0.000), Si at (0.000, 0.500, 0.500) and Hg at (0.247, 0.000, 0.755).



Entry 3:
Density functional theory data (PBE) for crystalline Li2SiHg at its relaxed geometry.

Its uncorrected formation energy is -5.8 kJ per mole of atoms. For the total DFT energy (no corrections), the calculation gives -9.8 eV/cell.

The structure belongs to space group P4mm (No. 99); the cell edges are 3.412, 3.412 and 5.895 Å and the angles 90.00°, 90.00° and 90.00°. The inequivalent atoms are Li at (0.000, 0.000, 0.000), Li at (0.500, 0.500, 0.266), Si at (0.000, 0.000, 0.478) and Hg at (0.500, 0.500, 0.775).



Entry 4:
Density functional theory data (PBE) for crystalline Li7SiHg2 at its relaxed geometry.

Its uncorrected formation energy is -17.2 kJ per mole of atoms. For the total DFT energy (no corrections), the calculation gives -21.2 eV/cell.

The structure belongs to space group P3m1 (No. 156); the cell edges are 4.4889, 4.4889 and 10.4128 Å and the angles 90.00°, 90.00° and 120.00°. The inequivalent atoms are Li at (0.0000, 0.0000, 0.0000), Li at (0.0000, 0.0000, 0.2251), Li at (0.0000, 0.0000, 0.4845), Li at (0.3333, 0.6667, 0.0710), Li at (0.3333, 0.6667, 0.6273), Li at (0.6667, 0.3333, 0.3877), Li at (0.6667, 0.3333, 0.8646), Si at (0.6667, 0.3333, 0.1245), Hg at (0.0000, 0.0000, 0.7428) and Hg at (0.3333, 0.6667, 0.3431).



Entry 5:
Density functional theory data (PBE) for crystalline Li6SiHg3 at its relaxed geometry.

Its uncorrected formation energy is -27.1 kJ per mole of atoms. For the total DFT energy (no corrections), the calculation gives -41.2 eV/cell.

The structure belongs to space group P2_1/m (No. 11); the cell edges are 7.786, 4.654 and 10.254 Å and the angles 90.00°, 110.88° and 90.00°. The inequivalent atoms are Li at (0.015, 0.250, 0.147), Li at (0.164, 0.750, 0.619), Li at (0.192, 0.250, 0.981), Li at (0.382, 0.750, 0.413), Li at (0.396, 0.250, 0.257), Li at (0.415, 0.250, 0.782), Si at (0.215, 0.750, 0.140), Hg at (0.008, 0.250, 0.693), Hg at (0.240, 0.250, 0.487) and Hg at (0.366, 0.750, 0.919).



Entry 6:
Density functional theory data (PBE) for crystalline Li2SiHg at its relaxed geometry.

Its uncorrected formation energy is -6.7 kJ per mole of atoms. For the total DFT energy (no corrections), the calculation gives -9.8 eV/cell.

The structure belongs to space group Pmm2 (No. 25); the cell edges are 2.978, 4.115 and 5.616 Å and the angles 90.00°, 90.00° and 90.00°. The inequivalent atoms are Li at (0.000, 0.000, 0.000), Li at (0.500, 0.500, 0.284), Si at (0.000, 0.000, 0.484) and Hg at (0.500, 0.500, 0.787).



Entry 7:
Density functional theory data (PBE) for crystalline Li2SiHg at its relaxed geometry.

Its uncorrected formation energy is -16.3 kJ per mole of atoms. For the total DFT energy (no corrections), the calculation gives -10.2 eV/cell.

The structure belongs to space group Pmmm (No. 47); the cell edges are 2.870, 3.964 and 5.813 Å and the angles 90.00°, 90.00° and 90.00°. The inequivalent atoms are Li at (0.000, 0.000, 0.223), Si at (0.500, 0.500, 0.000) and Hg at (0.500, 0.500, 0.500).



Entry 8:
Density functional theory data (PBE) for crystalline LiSi3Hg at its relaxed geometry.

Its uncorrected formation energy is 77.3 kJ per mole of atoms. The calculation puts the energy relative to the lowest polymorph listed for this composition at 0 meV per atom. For the total DFT energy (no corrections), the calculation gives -14.5 eV/cell.

The structure belongs to space group Pm-3m (No. 221); the cell edges are 4.544, 4.544 and 4.544 Å and the angles 90.00°, 90.00° and 90.00°. The inequivalent atoms are Li at (0.000, 0.000, 0.000), Si at (0.000, 0.000, 0.500) and Hg at (0.500, 0.500, 0.500).



Entry 9:
Density functional theory data (PBE) for crystalline LiSi2Hg2 at its relaxed geometry.

Its uncorrected formation energy is 19.4 kJ per mole of atoms. The calculation puts the energy relative to the lowest polymorph listed for this composition at 107 meV per atom. For the total DFT energy (no corrections), the calculation gives -24.7 eV/cell.

The structure belongs to space group I4/mmm (No. 139); the cell edges are 4.545, 4.545 and 10.521 Å and the angles 90.00°, 90.00° and 90.00°. The inequivalent atoms are Li at (0.000, 0.000, 0.000), Si at (0.000, 0.000, 0.392) and Hg at (0.000, 0.500, 0.250).



Entry 10:
Density functional theory data (PBE) for crystalline LiSiHg2 at its relaxed geometry.

Its uncorrected formation energy is 15.8 kJ per mole of atoms. For the total DFT energy (no corrections), the calculation gives -29.1 eV/cell.

The structure belongs to space group I-42d (No. 122); the cell edges are 4.420, 4.420 and 17.715 Å and the angles 90.00°, 90.00° and 90.00°. The inequivalent atoms are Li at (0.000, 0.000, 0.000), Si at (0.000, 0.000, 0.500) and Hg at (0.244, 0.250, 0.625).



Entry 11:
Density functional theory data (PBE) for crystalline LiSiHg2 at its relaxed geometry.

Its uncorrected formation energy is 6.7 kJ per mole of atoms. For the total DFT energy (no corrections), the calculation gives -7.7 eV/cell.

The structure belongs to space group P2/m (No. 10); the cell edges are 3.030, 4.378 and 6.170 Å and the angles 90.00°, 90.09° and 90.00°. The inequivalent atoms are Li at (0.000, 0.000, 0.000), Si at (0.500, 0.000, 0.500) and Hg at (0.499, 0.500, 0.237).



Entry 12:
Density functional theory data (PBE) for crystalline LiSi2Hg2 at its relaxed geometry.

Its uncorrected formation energy is 21.9 kJ per mole of atoms. The calculation puts the energy relative to the lowest polymorph listed for this composition at 133 meV per atom. For the total DFT energy (no corrections), the calculation gives -24.5 eV/cell.

The structure belongs to space group P4/mbm (No. 127); the cell edges are 7.047, 7.047 and 4.010 Å and the angles 90.00°, 90.00° and 90.00°. The inequivalent atoms are Li at (0.000, 0.000, 0.000), Si at (0.118, 0.382, 0.000) and Hg at (0.195, 0.695, 0.500).